[1]
Entry from the Alexandria database: an optimized crystal structure of MnP4H16N2O16 (PBE+U).

## Properties
SG   P-1, No. 2

```
data_MnP4H16N2O16
_chemical_formula_sum 'Mn1 P4 H16 N2 O16'
_cell_length_a 7.161
_cell_length_b 7.524
_cell_length_c 7.893
_cell_angle_alpha 99.43
_cell_angle_beta 108.34
_cell_angle_gamma 89.92
_space_group_name_H-M_alt 'P 1'
_space_group_IT_number 1
_space_group_name_Hall 'P 1'
loop_
_atom_site_label
_atom_site_type_symbol
_atom_site_fract_x
_atom_site_fract_y
_atom_site_fract_z
_atom_site_occupancy
Mn1 Mn 0.000 0.500 0.000 1
P1 P 0.758 0.788 0.740 1
P2 P 0.242 0.212 0.260 1
P3 P 0.171 0.753 0.747 1
P4 P 0.829 0.247 0.253 1
H1 H 0.442 0.733 0.578 1
H2 H 0.558 0.267 0.422 1
H3 H 0.240 0.979 0.984 1
H4 H 0.760 0.021 0.016 1
H5 H 0.545 0.313 0.899 1
H6 H 0.455 0.687 0.101 1
H7 H 0.419 0.280 0.673 1
H8 H 0.581 0.720 0.327 1
H9 H 0.323 0.402 0.824 1
H10 H 0.677 0.598 0.176 1
H11 H 0.338 0.176 0.813 1
H12 H 0.662 0.824 0.187 1
H13 H 0.878 0.162 0.783 1
H14 H 0.122 0.838 0.217 1
H15 H 0.876 0.290 0.640 1
H16 H 0.124 0.710 0.360 1
N1 N 0.407 0.293 0.802 1
N2 N 0.593 0.707 0.198 1
O1 O 0.760 0.648 0.858 1
O2 O 0.240 0.352 0.142 1
O3 O 0.579 0.753 0.558 1
O4 O 0.421 0.247 0.442 1
O5 O 0.770 0.983 0.836 1
O6 O 0.230 0.017 0.164 1
O7 O 0.935 0.763 0.653 1
O8 O 0.065 0.237 0.347 1
O9 O 0.208 0.622 0.881 1
O10 O 0.792 0.378 0.119 1
O11 O 0.247 0.704 0.588 1
O12 O 0.753 0.296 0.412 1
O13 O 0.252 0.948 0.851 1
O14 O 0.748 0.052 0.149 1
O15 O 0.936 0.276 0.769 1
O16 O 0.064 0.724 0.231 1
```


[2]
Entry from the Alexandria database: an optimized crystal structure of MnH10S2N4O8 (PBE+U).

## Properties
SG   P-1, No. 2

```
data_MnH10S2N4O8
_chemical_formula_sum 'Mn1 H10 S2 N4 O8'
_cell_length_a 5.498
_cell_length_b 5.922
_cell_length_c 7.561
_cell_angle_alpha 91.83
_cell_angle_beta 104.49
_cell_angle_gamma 98.17
_space_group_name_H-M_alt 'P 1'
_space_group_IT_number 1
_space_group_name_Hall 'P 1'
loop_
_atom_site_label
_atom_site_type_symbol
_atom_site_fract_x
_atom_site_fract_y
_atom_site_fract_z
_atom_site_occupancy
Mn1 Mn 0.000 0.000 0.000 1
H1 H 0.751 0.446 0.809 1
H2 H 0.249 0.554 0.191 1
H3 H 0.562 0.204 0.700 1
H4 H 0.438 0.796 0.300 1
H5 H 0.905 0.689 0.271 1
H6 H 0.095 0.311 0.729 1
H7 H 0.901 0.083 0.625 1
H8 H 0.099 0.917 0.375 1
H9 H 0.706 0.395 0.577 1
H10 H 0.294 0.605 0.423 1
S1 S 0.369 0.758 0.775 1
S2 S 0.631 0.242 0.225 1
N1 N 0.061 0.805 0.262 1
N2 N 0.939 0.195 0.738 1
N3 N 0.273 0.678 0.296 1
N4 N 0.727 0.322 0.704 1
O1 O 0.804 0.257 0.100 1
O2 O 0.196 0.743 0.900 1
O3 O 0.361 0.233 0.116 1
O4 O 0.639 0.767 0.884 1
O5 O 0.660 0.038 0.333 1
O6 O 0.340 0.962 0.667 1
O7 O 0.702 0.453 0.352 1
O8 O 0.298 0.547 0.648 1
```


[3]
Entry from the Alexandria database: an optimized crystal structure of MnSiHNO (PBE+U).

## Properties
Offset from the most stable computed form   73.7 meV/atom
SG   Cm, No. 8

```
data_MnSiHNO
_chemical_formula_sum 'Mn2 Si2 H2 N2 O2'
_cell_length_a 2.904
_cell_length_b 2.955
_cell_length_c 11.902
_cell_angle_alpha 90.00
_cell_angle_beta 93.40
_cell_angle_gamma 90.00
_space_group_name_H-M_alt 'P 1'
_space_group_IT_number 1
_space_group_name_Hall 'P 1'
loop_
_atom_site_label
_atom_site_type_symbol
_atom_site_fract_x
_atom_site_fract_y
_atom_site_fract_z
_atom_site_occupancy
Mn1 Mn 0.540 0.000 0.297 1
Mn2 Mn 0.540 0.500 0.797 1
Si1 Si 0.054 0.000 0.016 1
Si2 Si 0.054 0.500 0.516 1
H1 H 0.135 0.000 0.755 1
H2 H 0.135 0.500 0.255 1
N1 N 0.037 0.000 0.440 1
N2 N 0.037 0.500 0.940 1
O1 O 0.573 0.000 0.094 1
O2 O 0.573 0.500 0.594 1
```


What final energy values result from the calculations? In sequence: -234.2; -143.7; -34.1 eV/f.u..